(1)
A plane-wave DFT calculation with PBE-GGA was carried out for a geometry-optimized LaInSb2 structure.

```
data_LaInSb2
_cell_length_a 10.714
_cell_length_b 4.879
_cell_length_c 4.886
_cell_angle_alpha 90.00
_cell_angle_beta 116.96
_cell_angle_gamma 90.00
_symmetry_space_group_name_H-M 'C 1 2/m 1'
_symmetry_Int_Tables_number 12
_symmetry_space_group_name_Hall '-C 2y'
loop_
_atom_site_label
_atom_site_type_symbol
_atom_site_fract_x
_atom_site_fract_y
_atom_site_fract_z
La1 La 0.000 0.000 0.000
In1 In 0.000 0.500 0.500
Sb1 Sb 0.250 0.000 0.749
```

=====

(2)
A plane-wave DFT calculation with PBE-GGA was carried out for a geometry-optimized CaLa2TbS4 structure.

```
data_CaLa2TbS4
_cell_length_a 7.024
_cell_length_b 4.038
_cell_length_c 7.088
_cell_angle_alpha 90.00
_cell_angle_beta 109.06
_cell_angle_gamma 90.00
_symmetry_space_group_name_H-M 'P 1 2/m 1'
_symmetry_Int_Tables_number 10
_symmetry_space_group_name_Hall '-P 2y'
loop_
_atom_site_label
_atom_site_type_symbol
_atom_site_fract_x
_atom_site_fract_y
_atom_site_fract_z
Ca1 Ca 0.000 0.000 0.000
La1 La 0.000 0.500 0.500
La2 La 0.500 0.000 0.500
Tb1 Tb 0.500 0.500 0.000
S1 S 0.247 0.500 0.235
S2 S 0.257 0.000 0.767
```

=====

| no. | E_tot (eV per atom) |
| --- | --- |
| 1 | -4.548 |
| 2 | -6.223 |